(1)
DFT (PBE) results for crystalline Dy8As3P3S at its relaxed geometry.

The space group is R-3m (No. 166, hexagonal axes) and the conventional cell measures 8.0253, 8.0253 and 19.7377 Å, with angles of 90.00, 90.00 and 120.00 degrees. The distinct sites, in fractional coordinates, are Dy at (0.0000, 0.0000, 0.2474), Dy at (0.0020, 0.5010, 0.7523), As at (0.0000, 0.5000, 0.0000), P at (0.0000, 0.5000, 0.5000) and S at (0.0000, 0.0000, 0.5000).

As for the formation energy (no corrections): -1.5250 eV per atom.

***

(2)
DFT (PBE) results for crystalline Dy8As4PS3 at its relaxed geometry.

The space group is R-3m (No. 166, hexagonal axes) and the conventional cell measures 8.0708, 8.0708 and 19.6955 Å, with angles of 90.00, 90.00 and 120.00 degrees. The distinct sites, in fractional coordinates, are Dy at (0.0000, 0.0000, 0.2499), Dy at (0.0034, 0.5017, 0.2488), As at (0.0000, 0.0000, 0.0000), As at (0.0000, 0.5000, 0.0000), P at (0.0000, 0.0000, 0.5000) and S at (0.0000, 0.5000, 0.5000).

As for the formation energy (no corrections): -1.7572 eV per atom.

***

(3)
DFT (PBE) results for crystalline Dy8As3PS3 at its relaxed geometry.

The space group is R-3m (No. 166, hexagonal axes) and the conventional cell measures 7.9805, 7.9805 and 19.6495 Å, with angles of 90.00, 90.00 and 120.00 degrees. The distinct sites, in fractional coordinates, are Dy at (0.0000, 0.0000, 0.2494), Dy at (0.0043, 0.5021, 0.2475), As at (0.0000, 0.5000, 0.0000), P at (0.0000, 0.0000, 0.5000) and S at (0.0000, 0.5000, 0.5000).

As for the formation energy (no corrections): -1.6432 eV per atom.

***

(4)
DFT (PBE) results for crystalline Dy6As3P2S at its relaxed geometry.

The space group is C2/m (No. 12) and the conventional cell measures 17.630, 4.050 and 8.100 Å, with angles of 90.00, 103.20 and 90.00 degrees. The distinct sites, in fractional coordinates, are Dy at (0.002, 0.000, 0.252), Dy at (0.167, 0.500, 0.089), Dy at (0.168, 0.500, 0.579), As at (0.000, 0.500, 0.500), As at (0.165, 0.000, 0.834), P at (0.166, 0.000, 0.332) and S at (0.000, 0.500, 0.000).

As for the formation energy (no corrections): -1.6716 eV per atom.

***

(5)
DFT (PBE) results for crystalline Dy6SbAs2P3 at its relaxed geometry.

The space group is C2/m (No. 12) and the conventional cell measures 17.921, 4.091 and 8.243 Å, with angles of 90.00, 103.52 and 90.00 degrees. The distinct sites, in fractional coordinates, are Dy at (0.001, 0.000, 0.233), Dy at (0.166, 0.500, 0.087), Dy at (0.173, 0.500, 0.583), Sb at (0.000, 0.500, 0.500), As at (0.167, 0.000, 0.834), P at (0.000, 0.500, 0.000) and P at (0.166, 0.000, 0.332).

As for the formation energy (no corrections): -1.4837 eV per atom.

***

(6)
DFT (PBE) results for crystalline Dy4Sb2AsP at its relaxed geometry.

The space group is P2/m (No. 10) and the conventional cell measures 7.275, 4.196 and 7.381 Å, with angles of 90.00, 109.11 and 90.00 degrees. The distinct sites, in fractional coordinates, are Dy at (0.239, 0.000, 0.228), Dy at (0.253, 0.500, 0.770), Sb at (0.000, 0.000, 0.500), Sb at (0.500, 0.500, 0.500), As at (0.500, 0.000, 0.000) and P at (0.000, 0.500, 0.000).

As for the formation energy (no corrections): -1.3261 eV per atom.

***

(7)
DFT (PBE) results for crystalline DyScAsP at its relaxed geometry.

The space group is P4/mmm (No. 123) and the conventional cell measures 3.967, 3.967 and 5.560 Å, with angles of 90.00, 90.00 and 90.00 degrees. The distinct sites, in fractional coordinates, are Dy at (0.000, 0.000, 0.000), Sc at (0.500, 0.500, 0.500), As at (0.500, 0.500, 0.000) and P at (0.000, 0.000, 0.500).

For the formation energy from the elements, the calculation gives -1.44 eV/atom.

***

(8)
DFT (PBE) results for crystalline Dy6As2PSe3 at its relaxed geometry.

The space group is C2/m (No. 12) and the conventional cell measures 17.857, 4.070 and 8.194 Å, with angles of 90.00, 103.79 and 90.00 degrees. The distinct sites, in fractional coordinates, are Dy at (0.002, 0.000, 0.234), Dy at (0.160, 0.500, 0.086), Dy at (0.168, 0.500, 0.576), As at (0.167, 0.000, 0.333), P at (0.000, 0.500, 0.000), Se at (0.000, 0.500, 0.500) and Se at (0.168, 0.000, 0.833).

As for the formation energy (no corrections): -1.7334 eV per atom.

***

no.,uncorrected energy (eV/cell),density (g cm⁻³)
1,-282.0,7.47
2,-304.0,7.74
3,-279.6,7.59
4,-153.1,7.63
5,-150.1,7.57
6,-47.3,7.80
7,-26.7,5.95
8,-147.2,8.00